1.
The following is a DFT calculation (PBE) of a relaxed Al13Ni16 crystal.

- Energy relative to the lowest polymorph listed for this composition: 0.000 eV/atom
- DFT total energy: -150.00 eV per formula unit
- Symmetry: I-43m
- Crystal system: cubic

abc: 7.7357 7.7357 7.7357
angles: 109.47 109.47 109.47
Last column: nearest neighbours and their distance in Å.
Element x y z (fractional)
1 Al 0.0000 0.0000 0.0000  16 Ni 2.68-2.86
2 Al 0.0000 0.4179 0.7020  6 Ni 2.42-2.53
3 Al 0.0000 0.7020 0.4179  6 Ni 2.42-2.53
4 Al 0.2841 0.5821 0.5821  6 Ni 2.42-2.53
5 Al 0.2980 0.2980 0.7159  6 Ni 2.42-2.53
6 Al 0.2980 0.7159 0.2980  6 Ni 2.42-2.53
7 Al 0.4179 0.0000 0.7020  6 Ni 2.42-2.53
8 Al 0.4179 0.7020 0.0000  6 Ni 2.42-2.53
9 Al 0.5821 0.2841 0.5821  6 Ni 2.42-2.53
10 Al 0.5821 0.5821 0.2841  6 Ni 2.42-2.53
11 Al 0.7020 0.0000 0.4179  6 Ni 2.42-2.53
12 Al 0.7020 0.4179 0.0000  6 Ni 2.42-2.53
13 Al 0.7159 0.2980 0.2980  6 Ni 2.42-2.53
14 Ni 0.0000 0.0000 0.6533  4 Al 2.42-2.68, 6 Ni 2.70
15 Ni 0.0000 0.1966 0.3847  3 Ni 2.38-2.48, 5 Al 2.45-2.53
16 Ni 0.0000 0.3847 0.1966  3 Ni 2.38-2.48, 5 Al 2.45-2.53
17 Ni 0.0000 0.6533 0.0000  4 Al 2.42-2.68, 6 Ni 2.70
18 Ni 0.1882 0.8034 0.8034  3 Ni 2.38-2.48, 5 Al 2.45-2.53
19 Ni 0.1966 0.0000 0.3847  3 Ni 2.38-2.48, 5 Al 2.45-2.53
20 Ni 0.1966 0.3847 0.0000  3 Ni 2.38-2.48, 5 Al 2.45-2.53
21 Ni 0.3467 0.3467 0.3467  4 Al 2.42-2.68, 6 Ni 2.70
22 Ni 0.3847 0.0000 0.1966  3 Ni 2.38-2.48, 5 Al 2.45-2.53
23 Ni 0.3847 0.1966 0.0000  3 Ni 2.38-2.48, 5 Al 2.45-2.53
24 Ni 0.6153 0.6153 0.8118  3 Ni 2.38-2.48, 5 Al 2.45-2.53
25 Ni 0.6153 0.8118 0.6153  3 Ni 2.38-2.48, 5 Al 2.45-2.53
26 Ni 0.6533 0.0000 0.0000  4 Al 2.42-2.68, 6 Ni 2.70
27 Ni 0.8034 0.1882 0.8034  3 Ni 2.38-2.48, 5 Al 2.45-2.53
28 Ni 0.8034 0.8034 0.1882  3 Ni 2.38-2.48, 5 Al 2.45-2.53
29 Ni 0.8118 0.6153 0.6153  3 Ni 2.38-2.48, 5 Al 2.45-2.53

2.
The following is a DFT calculation (PBE) of a relaxed Al3Ni crystal.

- DFT total energy: -18.29 eV per formula unit
- Symmetry: P4_2/n
- Crystal system: tetragonal

abc: 9.7946 9.7946 4.8381
angles: 90.00 90.00 90.00
Last column: nearest neighbours and their distance in Å.
Element x y z (fractional)
1 Al 0.0248 0.9248 0.2358  3 Ni 2.46-2.52, 1 Al 2.75
2 Al 0.0752 0.5248 0.7358  3 Ni 2.46-2.52, 1 Al 2.75
3 Al 0.1130 0.2810 0.0321  4 Ni 2.51-2.58, 3 Al 2.75-2.81
4 Al 0.1405 0.8336 0.7222  2 Ni 2.42-2.45, 1 Al 2.70
5 Al 0.1664 0.6405 0.2222  2 Ni 2.42-2.45, 1 Al 2.70
6 Al 0.2190 0.1130 0.4679  4 Ni 2.51-2.58, 3 Al 2.75-2.81
7 Al 0.2810 0.3870 0.4679  4 Ni 2.51-2.58, 3 Al 2.75-2.81
8 Al 0.3336 0.8595 0.2222  2 Ni 2.42-2.45, 1 Al 2.70
9 Al 0.3595 0.6664 0.7222  2 Ni 2.42-2.45, 1 Al 2.70
10 Al 0.3870 0.2190 0.0321  4 Ni 2.51-2.58, 3 Al 2.75-2.81
11 Al 0.4248 0.9752 0.7358  3 Ni 2.46-2.52, 1 Al 2.75
12 Al 0.4752 0.5752 0.2358  3 Ni 2.46-2.52, 1 Al 2.75
13 Al 0.5248 0.4248 0.7642  3 Ni 2.46-2.52, 1 Al 2.75
14 Al 0.5752 0.0248 0.2642  3 Ni 2.46-2.52, 1 Al 2.75
15 Al 0.6130 0.7810 0.9679  4 Ni 2.51-2.58, 3 Al 2.75-2.81
16 Al 0.6405 0.3336 0.2778  2 Ni 2.42-2.45, 1 Al 2.70
17 Al 0.6664 0.1405 0.7778  2 Ni 2.42-2.45, 1 Al 2.70
18 Al 0.7190 0.6130 0.5321  4 Ni 2.51-2.58, 3 Al 2.75-2.81
19 Al 0.7810 0.8870 0.5321  4 Ni 2.51-2.58, 3 Al 2.75-2.81
20 Al 0.8336 0.3595 0.7778  2 Ni 2.42-2.45, 1 Al 2.70
21 Al 0.8595 0.1664 0.2778  2 Ni 2.42-2.45, 1 Al 2.70
22 Al 0.8870 0.7190 0.9679  4 Ni 2.51-2.58, 3 Al 2.75-2.81
23 Al 0.9248 0.4752 0.2642  3 Ni 2.46-2.52, 1 Al 2.75
24 Al 0.9752 0.0752 0.7642  3 Ni 2.46-2.52, 1 Al 2.75
25 Ni 0.0371 0.2921 0.5270  9 Al 2.42-2.58
26 Ni 0.2079 0.0371 0.9730  9 Al 2.42-2.58
27 Ni 0.2921 0.4629 0.9730  9 Al 2.42-2.58
28 Ni 0.4629 0.2079 0.5270  9 Al 2.42-2.58
29 Ni 0.5371 0.7921 0.4730  9 Al 2.42-2.58
30 Ni 0.7079 0.5371 0.0270  9 Al 2.42-2.58
31 Ni 0.7921 0.9629 0.0270  9 Al 2.42-2.58
32 Ni 0.9629 0.7079 0.4730  9 Al 2.42-2.58

3.
The following is a DFT calculation (PBE) of a relaxed Al3Ni crystal.

- DFT total energy: -17.69 eV per formula unit
- Symmetry: I4/mmm
- Crystal system: tetragonal

abc: 4.7220 4.7220 4.7220
angles: 132.09 132.09 70.08
Last column: nearest neighbours and their distance in Å.
Element x y z (fractional)
1 Al 0.0000 0.0000 0.0000  4 Ni 2.71, 8 Al 2.72
2 Al 0.2500 0.7500 0.5000  8 Al 2.71-2.72, 4 Ni 2.72
3 Al 0.7500 0.2500 0.5000  8 Al 2.71-2.72, 4 Ni 2.72
4 Ni 0.5000 0.5000 0.0000  12 Al 2.71-2.72

4.
The following is a DFT calculation (PBE) of a relaxed Al5Ni8 crystal.

- Energy relative to the lowest polymorph listed for this composition: 0.000 eV/atom
- DFT total energy: -68.50 eV per formula unit
- Symmetry: R-3m
- Crystal system: trigonal

abc: 8.5263 8.5263 8.5263
angles: 32.67 32.67 32.67
Last column: nearest neighbours and their distance in Å.
Element x y z (fractional)
1 Al 0.0000 0.0000 0.0000  6 Ni 2.41
2 Al 0.1654 0.1654 0.1654  6 Ni 2.48-2.50, 3 Al 2.77
3 Al 0.4427 0.4427 0.4427  7 Ni 2.40-2.49
4 Al 0.5573 0.5573 0.5573  7 Ni 2.40-2.49
5 Al 0.8346 0.8346 0.8346  6 Ni 2.48-2.50, 3 Al 2.77
6 Ni 0.0883 0.0883 0.5802  5 Ni 2.36-2.60, 5 Al 2.41-2.50
7 Ni 0.0883 0.5802 0.0883  5 Ni 2.36-2.60, 5 Al 2.41-2.50
8 Ni 0.3437 0.3437 0.3437  1 Al 2.40, 3 Ni 2.60
9 Ni 0.4198 0.9117 0.9117  5 Ni 2.36-2.60, 5 Al 2.41-2.50
10 Ni 0.5802 0.0883 0.0883  5 Ni 2.36-2.60, 5 Al 2.41-2.50
11 Ni 0.6563 0.6563 0.6563  1 Al 2.40, 3 Ni 2.60
12 Ni 0.9117 0.4198 0.9117  5 Ni 2.36-2.60, 5 Al 2.41-2.50
13 Ni 0.9117 0.9117 0.4198  5 Ni 2.36-2.60, 5 Al 2.41-2.50

5.
The following is a DFT calculation (PBE) of a relaxed Al11Ni2 crystal.

- Energy relative to the lowest polymorph listed for this composition: 0.007 eV/atom
- DFT total energy: -51.97 eV per formula unit
- Symmetry: R-3m
- Crystal system: trigonal

abc: 8.8390 8.8390 8.8390
angles: 35.83 35.83 35.83
Last column: nearest neighbours and their distance in Å.
Element x y z (fractional)
1 Al 0.0000 0.0000 0.0000  6 Al 2.71
2 Al 0.0776 0.0776 0.5778  2 Ni 2.46-2.50, 5 Al 2.71-2.72
3 Al 0.0776 0.5778 0.0776  2 Ni 2.46-2.50, 5 Al 2.71-2.72
4 Al 0.3425 0.3425 0.3425  4 Al 2.67-2.90
5 Al 0.4222 0.9224 0.9224  2 Ni 2.46-2.50, 5 Al 2.71-2.72
6 Al 0.4500 0.4500 0.4500  2 Al 2.48-2.67
7 Al 0.5500 0.5500 0.5500  2 Al 2.48-2.67
8 Al 0.5778 0.0776 0.0776  2 Ni 2.46-2.50, 5 Al 2.71-2.72
9 Al 0.6575 0.6575 0.6575  4 Al 2.67-2.90
10 Al 0.9224 0.4222 0.9224  2 Ni 2.46-2.50, 5 Al 2.71-2.72
11 Al 0.9224 0.9224 0.4222  2 Ni 2.46-2.50, 5 Al 2.71-2.72
12 Ni 0.1677 0.1677 0.1677  6 Al 2.46-2.50
13 Ni 0.8323 0.8323 0.8323  6 Al 2.46-2.50

6.
The following is a DFT calculation (PBE) of a relaxed AlNi14 crystal.

- DFT total energy: -81.79 eV per formula unit
- Symmetry: P4_2/mnm
- Crystal system: tetragonal

abc: 8.5672 8.5672 4.5184
angles: 90.00 90.00 90.00
Last column: nearest neighbours and their distance in Å.
Element x y z (fractional)
1 Al 0.0000 0.0000 0.0000  12 Ni 2.34-2.57
2 Al 0.5000 0.5000 0.5000  12 Ni 2.34-2.57
3 Ni 0.0382 0.3676 0.5000  6 Ni 2.35-2.44
4 Ni 0.0651 0.2648 0.0000  1 Al 2.34, 9 Ni 2.39-2.51
5 Ni 0.1011 0.1011 0.5000  3 Ni 2.35-2.45, 2 Al 2.57
6 Ni 0.1324 0.5382 0.0000  6 Ni 2.35-2.44
7 Ni 0.1839 0.8161 0.2509  6 Ni 2.25-2.51, 1 Al 2.50
8 Ni 0.1839 0.8161 0.7491  6 Ni 2.25-2.51, 1 Al 2.50
9 Ni 0.2352 0.5651 0.5000  1 Al 2.34, 9 Ni 2.39-2.51
10 Ni 0.2648 0.0651 0.0000  1 Al 2.34, 9 Ni 2.39-2.51
11 Ni 0.3161 0.3161 0.2491  6 Ni 2.25-2.51, 1 Al 2.50
12 Ni 0.3161 0.3161 0.7509  6 Ni 2.25-2.51, 1 Al 2.50
13 Ni 0.3676 0.0382 0.5000  6 Ni 2.35-2.44
14 Ni 0.3989 0.6011 0.0000  3 Ni 2.35-2.45, 2 Al 2.57
15 Ni 0.4349 0.7648 0.5000  1 Al 2.34, 9 Ni 2.39-2.51
16 Ni 0.4618 0.8676 0.0000  6 Ni 2.35-2.44
17 Ni 0.5382 0.1324 0.0000  6 Ni 2.35-2.44
18 Ni 0.5651 0.2352 0.5000  1 Al 2.34, 9 Ni 2.39-2.51
19 Ni 0.6011 0.3989 0.0000  3 Ni 2.35-2.45, 2 Al 2.57
20 Ni 0.6324 0.9618 0.5000  6 Ni 2.35-2.44
21 Ni 0.6839 0.6839 0.2491  6 Ni 2.25-2.51, 1 Al 2.50
22 Ni 0.6839 0.6839 0.7509  6 Ni 2.25-2.51, 1 Al 2.50
23 Ni 0.7352 0.9349 0.0000  1 Al 2.34, 9 Ni 2.39-2.51
24 Ni 0.7648 0.4349 0.5000  1 Al 2.34, 9 Ni 2.39-2.51
25 Ni 0.8161 0.1839 0.2509  6 Ni 2.25-2.51, 1 Al 2.50
26 Ni 0.8161 0.1839 0.7491  6 Ni 2.25-2.51, 1 Al 2.50
27 Ni 0.8676 0.4618 0.0000  6 Ni 2.35-2.44
28 Ni 0.8989 0.8989 0.5000  3 Ni 2.35-2.45, 2 Al 2.57
29 Ni 0.9349 0.7352 0.0000  1 Al 2.34, 9 Ni 2.39-2.51
30 Ni 0.9618 0.6324 0.5000  6 Ni 2.35-2.44

7.
The following is a DFT calculation (PBE) of a relaxed AlNi5 crystal.

- Energy relative to the lowest polymorph listed for this composition: 0.022 eV/atom
- DFT total energy: -32.05 eV per formula unit
- Symmetry: P6_3/mmc
- Crystal system: hexagonal

abc: 4.6125 4.6125 15.0812
angles: 90.00 90.00 120.00
Last column: nearest neighbours and their distance in Å.
Element x y z (fractional)
1 Al 0.3333 0.6667 0.1266  6 Ni 2.31-2.33
2 Al 0.3333 0.6667 0.3734  6 Ni 2.31-2.33
3 Al 0.6667 0.3333 0.6266  6 Ni 2.31-2.33
4 Al 0.6667 0.3333 0.8734  6 Ni 2.31-2.33
5 Ni 0.0000 0.0000 0.0895  13 Ni 2.67-2.85, 3 Al 2.72
6 Ni 0.0000 0.0000 0.4105  13 Ni 2.67-2.85, 3 Al 2.72
7 Ni 0.0000 0.0000 0.5895  13 Ni 2.67-2.85, 3 Al 2.72
8 Ni 0.0000 0.0000 0.9105  13 Ni 2.67-2.85, 3 Al 2.72
9 Ni 0.0000 0.5000 0.0000  4 Ni 2.31, 2 Al 2.33
10 Ni 0.0000 0.5000 0.5000  4 Ni 2.31, 2 Al 2.33
11 Ni 0.1616 0.3232 0.2500  4 Ni 2.24-2.38, 2 Al 2.31
12 Ni 0.1616 0.8384 0.2500  4 Ni 2.24-2.38, 2 Al 2.31
13 Ni 0.3232 0.1616 0.7500  4 Ni 2.24-2.38, 2 Al 2.31
14 Ni 0.3333 0.6667 0.6575  13 Ni 2.70-2.85, 3 Al 2.70
15 Ni 0.3333 0.6667 0.8425  13 Ni 2.70-2.85, 3 Al 2.70
16 Ni 0.5000 0.0000 0.0000  4 Ni 2.31, 2 Al 2.33
17 Ni 0.5000 0.0000 0.5000  4 Ni 2.31, 2 Al 2.33
18 Ni 0.5000 0.5000 0.0000  4 Ni 2.31, 2 Al 2.33
19 Ni 0.5000 0.5000 0.5000  4 Ni 2.31, 2 Al 2.33
20 Ni 0.6667 0.3333 0.1575  13 Ni 2.70-2.85, 3 Al 2.70
21 Ni 0.6667 0.3333 0.3425  13 Ni 2.70-2.85, 3 Al 2.70
22 Ni 0.6768 0.8384 0.2500  4 Ni 2.24-2.38, 2 Al 2.31
23 Ni 0.8384 0.1616 0.7500  4 Ni 2.24-2.38, 2 Al 2.31
24 Ni 0.8384 0.6768 0.7500  4 Ni 2.24-2.38, 2 Al 2.31

8.
The following is a DFT calculation (PBE) of a relaxed Al7Ni8 crystal.

- Energy relative to the lowest polymorph listed for this composition: 0.088 eV/atom
- DFT total energy: -75.81 eV per formula unit
- Symmetry: P4_2/mnm
- Crystal system: tetragonal

abc: 8.8583 8.8583 4.6979
angles: 90.00 90.00 90.00
Last column: nearest neighbours and their distance in Å.
Element x y z (fractional)
1 Al 0.0000 0.0000 0.0000  8 Ni 2.44-2.52, 4 Al 2.66
2 Al 0.0451 0.3679 0.5000  2 Al 2.42-2.47, 4 Ni 2.44-2.52
3 Al 0.1004 0.1004 0.5000  5 Al 2.42-2.66
4 Al 0.1321 0.5451 0.0000  2 Al 2.42-2.47, 4 Ni 2.44-2.52
5 Al 0.3679 0.0451 0.5000  2 Al 2.42-2.47, 4 Ni 2.44-2.52
6 Al 0.3996 0.6004 0.0000  5 Al 2.42-2.66
7 Al 0.4549 0.8679 0.0000  2 Al 2.42-2.47, 4 Ni 2.44-2.52
8 Al 0.5000 0.5000 0.5000  8 Ni 2.44-2.52, 4 Al 2.66
9 Al 0.5451 0.1321 0.0000  2 Al 2.42-2.47, 4 Ni 2.44-2.52
10 Al 0.6004 0.3996 0.0000  5 Al 2.42-2.66
11 Al 0.6321 0.9549 0.5000  2 Al 2.42-2.47, 4 Ni 2.44-2.52
12 Al 0.8679 0.4549 0.0000  2 Al 2.42-2.47, 4 Ni 2.44-2.52
13 Al 0.8996 0.8996 0.5000  5 Al 2.42-2.66
14 Al 0.9549 0.6321 0.5000  2 Al 2.42-2.47, 4 Ni 2.44-2.52
15 Ni 0.0701 0.2670 0.0000  5 Al 2.44-2.52, 5 Ni 2.47-2.62
16 Ni 0.1775 0.8225 0.2530  4 Ni 2.32-2.57, 1 Al 2.52
17 Ni 0.1775 0.8225 0.7470  4 Ni 2.32-2.57, 1 Al 2.52
18 Ni 0.2330 0.5701 0.5000  5 Al 2.44-2.52, 5 Ni 2.47-2.62
19 Ni 0.2670 0.0701 0.0000  5 Al 2.44-2.52, 5 Ni 2.47-2.62
20 Ni 0.3225 0.3225 0.2470  4 Ni 2.32-2.57, 1 Al 2.52
21 Ni 0.3225 0.3225 0.7530  4 Ni 2.32-2.57, 1 Al 2.52
22 Ni 0.4299 0.7670 0.5000  5 Al 2.44-2.52, 5 Ni 2.47-2.62
23 Ni 0.5701 0.2330 0.5000  5 Al 2.44-2.52, 5 Ni 2.47-2.62
24 Ni 0.6775 0.6775 0.2470  4 Ni 2.32-2.57, 1 Al 2.52
25 Ni 0.6775 0.6775 0.7530  4 Ni 2.32-2.57, 1 Al 2.52
26 Ni 0.7330 0.9299 0.0000  5 Al 2.44-2.52, 5 Ni 2.47-2.62
27 Ni 0.7670 0.4299 0.5000  5 Al 2.44-2.52, 5 Ni 2.47-2.62
28 Ni 0.8225 0.1775 0.2530  4 Ni 2.32-2.57, 1 Al 2.52
29 Ni 0.8225 0.1775 0.7470  4 Ni 2.32-2.57, 1 Al 2.52
30 Ni 0.9299 0.7330 0.0000  5 Al 2.44-2.52, 5 Ni 2.47-2.62

Please write out number 5 again, unchanged.
The following is a DFT calculation (PBE) of a relaxed Al11Ni2 crystal.

- Energy relative to the lowest polymorph listed for this composition: 0.007 eV/atom
- DFT total energy: -51.97 eV per formula unit
- Symmetry: R-3m
- Crystal system: trigonal

abc: 8.8390 8.8390 8.8390
angles: 35.83 35.83 35.83
Last column: nearest neighbours and their distance in Å.
Element x y z (fractional)
1 Al 0.0000 0.0000 0.0000  6 Al 2.71
2 Al 0.0776 0.0776 0.5778  2 Ni 2.46-2.50, 5 Al 2.71-2.72
3 Al 0.0776 0.5778 0.0776  2 Ni 2.46-2.50, 5 Al 2.71-2.72
4 Al 0.3425 0.3425 0.3425  4 Al 2.67-2.90
5 Al 0.4222 0.9224 0.9224  2 Ni 2.46-2.50, 5 Al 2.71-2.72
6 Al 0.4500 0.4500 0.4500  2 Al 2.48-2.67
7 Al 0.5500 0.5500 0.5500  2 Al 2.48-2.67
8 Al 0.5778 0.0776 0.0776  2 Ni 2.46-2.50, 5 Al 2.71-2.72
9 Al 0.6575 0.6575 0.6575  4 Al 2.67-2.90
10 Al 0.9224 0.4222 0.9224  2 Ni 2.46-2.50, 5 Al 2.71-2.72
11 Al 0.9224 0.9224 0.4222  2 Ni 2.46-2.50, 5 Al 2.71-2.72
12 Ni 0.1677 0.1677 0.1677  6 Al 2.46-2.50
13 Ni 0.8323 0.8323 0.8323  6 Al 2.46-2.50

Which of these has the lowest DFT total energy?
Al13Ni16

Copy entry 7 word for word.
The following is a DFT calculation (PBE) of a relaxed AlNi5 crystal.

- Energy relative to the lowest polymorph listed for this composition: 0.022 eV/atom
- DFT total energy: -32.05 eV per formula unit
- Symmetry: P6_3/mmc
- Crystal system: hexagonal

abc: 4.6125 4.6125 15.0812
angles: 90.00 90.00 120.00
Last column: nearest neighbours and their distance in Å.
Element x y z (fractional)
1 Al 0.3333 0.6667 0.1266  6 Ni 2.31-2.33
2 Al 0.3333 0.6667 0.3734  6 Ni 2.31-2.33
3 Al 0.6667 0.3333 0.6266  6 Ni 2.31-2.33
4 Al 0.6667 0.3333 0.8734  6 Ni 2.31-2.33
5 Ni 0.0000 0.0000 0.0895  13 Ni 2.67-2.85, 3 Al 2.72
6 Ni 0.0000 0.0000 0.4105  13 Ni 2.67-2.85, 3 Al 2.72
7 Ni 0.0000 0.0000 0.5895  13 Ni 2.67-2.85, 3 Al 2.72
8 Ni 0.0000 0.0000 0.9105  13 Ni 2.67-2.85, 3 Al 2.72
9 Ni 0.0000 0.5000 0.0000  4 Ni 2.31, 2 Al 2.33
10 Ni 0.0000 0.5000 0.5000  4 Ni 2.31, 2 Al 2.33
11 Ni 0.1616 0.3232 0.2500  4 Ni 2.24-2.38, 2 Al 2.31
12 Ni 0.1616 0.8384 0.2500  4 Ni 2.24-2.38, 2 Al 2.31
13 Ni 0.3232 0.1616 0.7500  4 Ni 2.24-2.38, 2 Al 2.31
14 Ni 0.3333 0.6667 0.6575  13 Ni 2.70-2.85, 3 Al 2.70
15 Ni 0.3333 0.6667 0.8425  13 Ni 2.70-2.85, 3 Al 2.70
16 Ni 0.5000 0.0000 0.0000  4 Ni 2.31, 2 Al 2.33
17 Ni 0.5000 0.0000 0.5000  4 Ni 2.31, 2 Al 2.33
18 Ni 0.5000 0.5000 0.0000  4 Ni 2.31, 2 Al 2.33
19 Ni 0.5000 0.5000 0.5000  4 Ni 2.31, 2 Al 2.33
20 Ni 0.6667 0.3333 0.1575  13 Ni 2.70-2.85, 3 Al 2.70
21 Ni 0.6667 0.3333 0.3425  13 Ni 2.70-2.85, 3 Al 2.70
22 Ni 0.6768 0.8384 0.2500  4 Ni 2.24-2.38, 2 Al 2.31
23 Ni 0.8384 0.1616 0.7500  4 Ni 2.24-2.38, 2 Al 2.31
24 Ni 0.8384 0.6768 0.7500  4 Ni 2.24-2.38, 2 Al 2.31

Which value of DFT total energy does entry 5 give?
-51.97 eV per formula unit